Record 1
Computed, not measured: a geometry-optimized Li2BiAu2 structure at the PBE level of DFT.

Cell lengths 4.7096, 4.7096, 5.6599 Å; angles 90.00, 90.00, 120.00 degrees
Space group P-3m1 (No. 164)
Unique sites:
Li 0.3333 0.6667 0.1695 (multiplicity 2)
Bi 0.0000 0.0000 0.5000 (multiplicity 1)
Au 0.3333 0.6667 0.7032 (multiplicity 2)

## Properties
* calculated density: 9.42 g/cm3
* energy relative to the elements: -0.31 eV per atom

---

Record 2
Computed, not measured: a geometry-optimized LiBi2Au2 structure at the PBE level of DFT.

Cell lengths 7.9949, 7.9949, 3.8650 Å; angles 90.00, 90.00, 90.00 degrees
Space group P4/mbm (No. 127)
Unique sites:
Li 0.0000 0.0000 0.0000 (multiplicity 2)
Bi 0.1682 0.3318 0.0000 (multiplicity 4)
Au 0.1341 0.6341 0.5000 (multiplicity 4)

## Properties
* calculated density: 11.01 g/cm3
* energy relative to the elements: -0.07 eV per atom

---

Record 3
Computed, not measured: a geometry-optimized Li2BiAu6 structure at the PBE level of DFT.

Cell lengths 3.2882, 11.7821, 9.0687 Å; angles 90.00, 90.00, 90.00 degrees
Space group Amm2 (No. 38)
Unique sites:
Li 0.0000 0.2121 0.0000 (multiplicity 4)
Bi 0.5000 0.0000 0.5103 (multiplicity 2)
Au 0.0000 0.0000 0.8133 (multiplicity 2)
Au 0.0000 0.1229 0.2746 (multiplicity 4)
Au 0.5000 0.0000 0.0635 (multiplicity 2)
Au 0.5000 0.1886 0.7474 (multiplicity 4)

## Properties
* calculated density: 13.28 g/cm3
* energy relative to the elements: -0.22 eV per atom